(1)
KGaHg2I: relaxed, PBE.

Summary:
The value obtained for the total energy is -1.66 eV per atom. For the formation energy (no corrections), the calculation gives -0.408 eV per atom.

Cell lengths 5.376, 5.376, 6.460 Å; angles 90.00, 90.00, 90.00 degrees
Space group P4/mmm (No. 123)
Unique sites:
K 0.000 0.000 0.000 (multiplicity 1)
Ga 0.500 0.500 0.500 (multiplicity 1)
Hg 0.000 0.500 0.500 (multiplicity 2)
I 0.500 0.500 0.000 (multiplicity 1)

---

(2)
Mn3Mo5: relaxed, PBE.

Summary:
The calculation puts the energy above the most stable polymorph in this dataset at 47 meV/atom. The value obtained for the total energy is -10.03 eV per atom.

Cell lengths 7.2521, 7.2521, 5.0082 Å; angles 90.00, 90.00, 120.00 degrees
Space group P6_3/mcm (No. 193)
Unique sites:
Mn 0.0000 0.4067 0.2500 (multiplicity 6)
Mo 0.0000 0.2383 0.7500 (multiplicity 6)
Mo 0.3333 0.6667 0.0000 (multiplicity 4)

---

(3)
VSiAs2: relaxed, PBE.

Summary:
The value obtained for the total energy is -5.46 eV per atom. For the formation energy (no corrections), the calculation gives 0.505 eV per atom.

Cell lengths 3.4403, 3.4403, 24.0187 Å; angles 90.00, 90.00, 120.00 degrees
Space group R-3m (No. 166, hexagonal axes)
Unique sites:
V 0.0000 0.0000 0.0000 (multiplicity 3)
Si 0.0000 0.0000 0.5000 (multiplicity 3)
As 0.0000 0.0000 0.1039 (multiplicity 6)

---

(4)
BeHgIrPb2: relaxed, PBE.

Summary:
The value obtained for the total energy is -3.81 eV per atom.

Cell lengths 5.322, 5.322, 4.459 Å; angles 90.00, 90.00, 90.00 degrees
Space group P4/mmm (No. 123)
Unique sites:
Be 0.000 0.000 0.000 (multiplicity 1)
Hg 0.500 0.500 0.000 (multiplicity 1)
Ir 0.000 0.000 0.500 (multiplicity 1)
Pb 0.000 0.500 0.500 (multiplicity 2)

---

(5)
AcLa2Sm2: relaxed, PBE.

Summary:
The calculation puts the energy above the most stable polymorph in this dataset at 163 meV/atom. The value obtained for the total energy is -4.40 eV per atom.

Cell lengths 4.840, 4.840, 16.303 Å; angles 90.00, 90.00, 90.00 degrees
Space group I4/mmm (No. 139)
Unique sites:
Ac 0.000 0.000 0.000 (multiplicity 2)
La 0.000 0.000 0.404 (multiplicity 4)
Sm 0.000 0.500 0.250 (multiplicity 4)

---

(6)
Pa2TeCl: relaxed, PBE.

Summary:
The calculation puts the energy above the most stable polymorph in this dataset at 72 meV/atom. The value obtained for the total energy is -6.40 eV per atom. For the formation energy (no corrections), the calculation gives -0.401 eV per atom.

Cell lengths 5.141, 5.141, 3.728 Å; angles 90.00, 90.00, 90.00 degrees
Space group P4/mmm (No. 123)
Unique sites:
Pa 0.000 0.500 0.000 (multiplicity 2)
Te 0.000 0.000 0.500 (multiplicity 1)
Cl 0.500 0.500 0.500 (multiplicity 1)

---

(7)
MnIn2Mo2S6: relaxed, PBE.

Summary:
The value obtained for the total energy is -6.04 eV per atom. For the formation energy (no corrections), the calculation gives -0.491 eV per atom.

Cell lengths 5.908, 10.190, 8.150 Å; angles 90.00, 103.29, 90.00 degrees
Space group C2/m (No. 12)
Unique sites:
Mn 0.000 0.000 0.000 (multiplicity 2)
In 0.000 0.262 0.500 (multiplicity 4)
Mo 0.000 0.367 0.000 (multiplicity 4)
S 0.108 0.169 0.834 (multiplicity 8)
S 0.122 0.500 0.801 (multiplicity 4)

---

(8)
Zr2TlIn: relaxed, PBE.

Summary:
The calculation puts the energy above the most stable polymorph in this dataset at 31 meV/atom. The value obtained for the total energy is -5.71 eV per atom.

Cell lengths 4.290, 4.290, 10.010 Å; angles 90.00, 90.00, 90.00 degrees
Space group I-4m2 (No. 119)
Unique sites:
Zr 0.000 0.000 0.000 (multiplicity 2)
Zr 0.000 0.500 0.250 (multiplicity 2)
Tl 0.000 0.500 0.750 (multiplicity 2)
In 0.000 0.000 0.500 (multiplicity 2)

---

(9)
KCo2PdCl8: relaxed, PBE.

Summary:
The value obtained for the total energy is -3.69 eV per atom. For the formation energy (no corrections), the calculation gives -0.748 eV per atom.

Cell lengths 6.2451, 6.2451, 28.2229 Å; angles 90.00, 90.00, 120.00 degrees
Space group R-3 (No. 148, hexagonal axes)
Unique sites:
K 0.0000 0.0000 0.0000 (multiplicity 3)
Co 0.0000 0.0000 0.2423 (multiplicity 6)
Pd 0.0000 0.0000 0.5000 (multiplicity 3)
Cl 0.0000 0.0000 0.3195 (multiplicity 6)
Cl 0.0028 0.6812 0.4479 (multiplicity 18)

---

(10)
Zn4Cu2Ag5: relaxed, PBE.

Summary:
The calculation puts the energy above the most stable polymorph in this dataset at 0 meV/atom. The value obtained for the total energy is -2.51 eV per atom.

Cell lengths 16.945, 2.882, 7.335 Å; angles 90.00, 104.73, 90.00 degrees
Space group C2/m (No. 12)
Unique sites:
Zn 0.051 0.000 0.230 (multiplicity 4)
Zn 0.180 0.500 0.440 (multiplicity 4)
Cu 0.068 0.500 0.948 (multiplicity 4)
Ag 0.000 0.500 0.500 (multiplicity 2)
Ag 0.141 0.000 0.722 (multiplicity 4)
Ag 0.206 0.000 0.130 (multiplicity 4)

---

(11)
Rb2Se2O5: relaxed, PBE.

Summary:
The calculation puts the energy above the most stable polymorph in this dataset at 0 meV/atom. The value obtained for the total energy is -5.01 eV per atom. For the formation energy (no corrections), the calculation gives -1.270 eV per atom.

Cell lengths 4.875, 6.102, 7.615 Å; angles 111.51, 100.43, 90.07 degrees
Space group P1 (No. 1)
Unique sites:
Rb 0.000 0.000 0.000 (multiplicity 1)
Rb 0.371 0.681 0.400 (multiplicity 1)
Se 0.450 0.468 0.846 (multiplicity 1)
Se 0.898 0.230 0.503 (multiplicity 1)
O 0.191 0.471 0.967 (multiplicity 1)
O 0.296 0.258 0.594 (multiplicity 1)
O 0.455 0.731 0.818 (multiplicity 1)
O 0.870 0.942 0.362 (multiplicity 1)
O 0.874 0.378 0.353 (multiplicity 1)

---

(12)
Ce3TaCl6O4: relaxed, PBE.

Summary:
The value obtained for the total energy is -6.95 eV per atom. For the formation energy (no corrections), the calculation gives -2.621 eV per atom.

Cell lengths 12.9828, 12.9828, 3.9616 Å; angles 90.00, 90.00, 120.00 degrees
Space group P6_3/m (No. 176)
Unique sites:
Ce 0.1159 0.7208 0.2500 (multiplicity 6)
Ta 0.3333 0.6667 0.7500 (multiplicity 2)
Cl 0.0687 0.4395 0.2500 (multiplicity 6)
Cl 0.1062 0.2474 0.7500 (multiplicity 6)
O 0.2012 0.6931 0.7500 (multiplicity 6)
O 0.3333 0.6667 0.2500 (multiplicity 2)

---

| no. | Fermi-level density of states (states/eV/cell) |
| --- | --- |
| 1 | 1.23 |
| 2 | 17.03 |
| 3 | 8.83 |
| 4 | 2.83 |
| 5 | 17.44 |
| 6 | 10.28 |
| 7 | 10.34 |
| 8 | 3.70 |
| 9 | 23.42 |
| 10 | 5.81 |
| 11 | 0.00 |
| 12 | 42.26 |